The following is a PBE-GGA calculation of crystalline KBaI2 at its relaxed geometry, from Alexandria.

Values from the calculation:
Density of states at the Fermi level, states/eV per atom: 0.311
Formation energy (no corrections), meV/atom: -1330.7
Density, g cm⁻³: 3.99
Crystal system: trigonal
DFT total energy, eV/atom: -2.861
Volume, Å³/atom: 44.73

The structure in CIF format:
```
data_KBaI2
_cell_length_a 10.036
_cell_length_b 10.036
_cell_length_c 10.036
_cell_angle_alpha 26.62
_cell_angle_beta 26.62
_cell_angle_gamma 26.62
_symmetry_space_group_name_H-M 'P 1'
_symmetry_Int_Tables_number 1
_symmetry_space_group_name_Hall 'P 1'
loop_
_atom_site_label
_atom_site_type_symbol
_atom_site_fract_x
_atom_site_fract_y
_atom_site_fract_z
K1 K 0.000 0.000 0.000
Ba1 Ba 0.832 0.832 0.832
I1 I 0.251 0.251 0.251
I2 I 0.413 0.413 0.413
```